Crystalline Sm2HoTm3 at its relaxed geometry. Source: Alexandria, functional PBE-GGA.

Cell and atoms, written as POSCAR:
```
Sm2HoTm3
1.0
8.824 -1.740 0.000
8.824 1.740 0.000
-6.467 0.000 12.499
Sm Ho Tm
4 2 6
Cartesian
-0.272 0.000 5.863
4.875 0.000 1.482
6.305 0.000 11.017
11.453 0.000 6.636
-3.056 0.000 8.039
14.236 0.000 4.460
1.570 0.000 0.320
2.301 0.000 3.647
3.022 0.000 9.878
8.158 0.000 2.621
8.879 0.000 8.852
9.610 0.000 12.179
```

Results
formation energy from the elements: 0.122 eV per atom
final energy: -53.400 eV for the cell shown
ΔE to the lowest computed polymorph: 43 meV per atom
spin magnetization: 0.00 μB/cell

---

Crystalline ReP at its relaxed geometry. Source: Alexandria, functional PBE-GGA.

Cell and atoms, written as POSCAR:
```
ReP
1.0
8.303 0.000 0.000
0.000 3.031 0.000
-1.230 0.000 4.328
Re P
4 4
Cartesian
0.660 0.000 1.264
2.262 1.516 3.064
4.811 1.516 1.264
6.413 0.000 3.064
-0.053 1.516 3.637
2.975 0.000 0.690
4.098 0.000 3.637
7.126 1.516 0.690
```

Results
formation energy from the elements: -0.173 eV per atom
final energy: -72.817 eV for the cell shown
ΔE to the lowest computed polymorph: 115 meV per atom
spin magnetization: 0.00 μB/cell

---

Crystalline CaCdSnPb at its relaxed geometry. Source: Alexandria, functional PBE-GGA.

Cell and atoms, written as POSCAR:
```
CaCdSnPb
1.0
4.622 0.000 0.000
0.000 4.811 0.000
0.000 0.000 4.886
Ca Cd Sn Pb
1 1 1 1
Cartesian
0.000 0.000 0.000
0.000 2.405 2.443
2.311 0.000 2.443
2.311 2.405 0.000
```

Results
formation energy from the elements: -0.331 eV per atom
final energy: -11.950 eV for the cell shown
spin magnetization: 0.00 μB/cell

---

Crystalline Y2ZnRh3 at its relaxed geometry. Source: Alexandria, functional PBE-GGA.

Cell and atoms, written as POSCAR:
```
Y2ZnRh3
1.0
5.545 0.000 0.000
-2.772 4.802 0.000
0.000 0.000 8.156
Y Zn Rh
4 2 6
Cartesian
0.000 3.201 0.480
0.000 3.201 3.598
2.772 1.601 4.558
2.772 1.601 7.676
0.000 0.000 0.000
0.000 0.000 4.078
0.000 1.613 6.117
-1.376 3.996 6.117
1.397 0.806 2.039
1.376 3.996 6.117
4.148 0.806 2.039
2.772 3.189 2.039
```

Results
formation energy from the elements: -0.716 eV per atom
final energy: -81.104 eV for the cell shown
spin magnetization: 0.00 μB/cell

---

Crystalline TcNiIr2 at its relaxed geometry. Source: Alexandria, functional PBE-GGA.

Cell and atoms, written as POSCAR:
```
TcNiIr2
1.0
4.562 0.000 0.000
0.000 4.562 0.000
0.000 0.000 2.713
Tc Ni Ir
1 1 2
Cartesian
0.000 0.000 0.000
2.281 2.281 0.000
0.000 2.281 1.357
2.281 0.000 1.357
```

Results
formation energy from the elements: 0.263 eV per atom
final energy: -32.817 eV for the cell shown
ΔE to the lowest computed polymorph: 385 meV per atom
spin magnetization: 0.69 μB/cell

---

Crystalline RuPtCl at its relaxed geometry. Source: Alexandria, functional PBE-GGA.

Cell and atoms, written as POSCAR:
```
RuPtCl
1.0
6.053 0.000 0.000
0.000 6.053 0.000
0.000 0.000 6.053
Ru Pt Cl
4 4 4
Cartesian
0.000 0.000 0.000
0.000 3.027 3.027
3.027 0.000 3.027
3.027 3.027 0.000
1.513 1.513 4.540
1.513 4.540 1.513
4.540 1.513 1.513
4.540 4.540 4.540
1.513 1.513 1.513
1.513 4.540 4.540
4.540 1.513 4.540
4.540 4.540 1.513
```

Results
final energy: -59.782 eV for the cell shown
ΔE to the lowest computed polymorph: 347 meV per atom
energy relative to the elements, uncorrected: 0.74 eV per atom
spin magnetization: 4.00 μB/cell

---

Crystalline YSiCl2 at its relaxed geometry. Source: Alexandria, functional PBE-GGA.

Cell and atoms, written as POSCAR:
```
YSiCl2
1.0
3.355 0.000 0.000
0.000 6.206 0.000
0.000 0.000 9.549
Y Si Cl
2 2 4
Cartesian
0.000 0.000 0.000
1.678 3.103 0.000
0.000 0.000 4.775
1.678 3.103 4.775
0.000 3.103 2.126
0.000 3.103 7.423
1.678 0.000 2.126
1.678 0.000 7.423
```

Results
final energy: -35.605 eV for the cell shown
ΔE to the lowest computed polymorph: 491 meV per atom
energy relative to the elements, uncorrected: -0.56 eV per atom
spin magnetization: 0.00 μB/cell

---

Crystalline Er4GaBi at its relaxed geometry. Source: Alexandria, functional PBE-GGA.

Cell and atoms, written as POSCAR:
```
Er4GaBi
1.0
7.932 -3.082 0.000
7.932 3.082 0.000
-1.670 0.000 7.215
Er Ga Bi
8 2 2
Cartesian
5.747 2.414 4.039
7.612 2.414 6.784
3.862 0.711 6.290
4.697 -0.711 2.683
9.497 0.711 4.533
10.332 -0.711 0.925
6.582 -2.414 0.431
8.447 -2.414 3.177
3.131 1.541 3.608
3.966 -1.541 0.000
7.515 0.775 1.804
6.680 -0.775 5.411
```

Results
formation energy from the elements: -0.269 eV per atom
final energy: -53.544 eV for the cell shown
spin magnetization: 0.01 μB/cell

---

Crystalline KMgHg2Bi at its relaxed geometry. Source: Alexandria, functional PBE-GGA.

Cell and atoms, written as POSCAR:
```
KMgHg2Bi
1.0
5.976 0.000 0.000
0.000 5.976 0.000
0.000 0.000 6.814
K Mg Hg Bi
1 1 2 1
Cartesian
0.000 0.000 0.000
2.988 2.988 0.000
0.000 2.988 3.407
2.988 0.000 3.407
0.000 0.000 3.407
```

Results
formation energy from the elements: 0.169 eV per atom
final energy: -6.330 eV for the cell shown
ΔE to the lowest computed polymorph: 295 meV per atom
spin magnetization: 0.00 μB/cell

---

Crystalline CePuAg2 at its relaxed geometry. Source: Alexandria, functional PBE-GGA.

Cell and atoms, written as POSCAR:
```
CePuAg2
1.0
5.551 0.000 0.000
0.000 5.551 0.000
0.000 0.000 3.238
Ce Pu Ag
1 1 2
Cartesian
0.000 0.000 0.000
2.776 2.776 0.000
0.000 2.776 1.619
2.776 0.000 1.619
```

Results
formation energy from the elements: 0.033 eV per atom
final energy: -25.835 eV for the cell shown
ΔE to the lowest computed polymorph: 18 meV per atom
spin magnetization: 7.16 μB/cell

---

Crystalline AlTc2ClF at its relaxed geometry. Source: Alexandria, functional PBE-GGA.

Cell and atoms, written as POSCAR:
```
AlTc2ClF
1.0
4.146 0.000 0.000
0.000 4.146 0.000
0.000 0.000 4.958
Al Tc Cl F
1 2 1 1
Cartesian
0.000 0.000 0.000
0.000 2.073 2.479
2.073 0.000 2.479
2.073 2.073 0.000
2.073 2.073 2.479
```

Results
final energy: -25.033 eV for the cell shown
energy relative to the elements, uncorrected: 0.63 eV per atom
spin magnetization: 4.03 μB/cell

---

Crystalline Mg3HIr5 at its relaxed geometry. Source: Alexandria, functional PBE-GGA.

Cell and atoms, written as POSCAR:
```
Mg3HIr5
1.0
4.760 0.000 0.000
0.000 5.687 0.000
-1.583 0.000 4.613
Mg H Ir
3 1 5
Cartesian
0.000 0.000 0.000
-0.664 1.495 2.337
-0.664 4.192 2.337
0.588 0.000 3.610
0.041 2.843 0.005
2.421 1.514 0.100
2.421 4.173 0.100
1.695 2.843 2.330
1.740 0.000 2.225
```

Results
final energy: -54.193 eV for the cell shown
ΔE to the lowest computed polymorph: 9 meV per atom
spin magnetization: 0.00 μB/cell